An optimized crystal structure of ZrPaS2. Source: Alexandria, functional PBE.

Computed properties:
Raw formation energy ... -582 kJ/mol of formula units
M_tot ... 0.00 μB per formula unit
Space-group type ... R-3m, No. 166
Distance to the lowest polymorph of the same formula ... 0.034 eV/atom

Cell lengths 6.367, 6.367, 6.367 Å; angles 35.42, 35.42, 35.42 degrees
Atoms (fractional coordinates):
Zr  0.000  0.000  0.000
Pa  0.500  0.500  0.500
S  0.254  0.254  0.254
S  0.746  0.746  0.746